Record 1
V2NiGe | PBE-GGA | relaxed

It has space group P2_1/m (No. 11), with a = 5.1758 Å, b = 4.1771 Å, c = 5.2206 Å, α = 90.00°, β = 114.18° and γ = 90.00°. The inequivalent atoms are V at (0.1250, 0.2500, 0.3548), V at (0.3673, 0.7500, 0.6442), Ni at (0.1758, 0.2500, 0.8559) and Ge at (0.3219, 0.7500, 0.1423).

For the total energy, the calculation gives -7.45 eV/atom.

Record 2
VNi4Ge | PBE-GGA | relaxed

It has space group Cmcm (No. 63), with a = 3.5624 Å, b = 16.5433 Å, c = 4.9974 Å, α = 90.00°, β = 90.00° and γ = 90.00°. The inequivalent atoms are V at (0.0000, 0.0780, 0.2500), Ni at (0.0000, 0.0711, 0.7500), Ni at (0.0000, 0.3492, 0.9998), Ni at (0.0000, 0.5000, 0.0000) and Ge at (0.0000, 0.2258, 0.7500).

For the total energy, the calculation gives -6.33 eV/atom.

Record 3
VNi14Ge | PBE-GGA | relaxed

It has space group P4/mmm (No. 123), with a = 5.0296 Å, b = 5.0296 Å, c = 7.0153 Å, α = 90.00°, β = 90.00° and γ = 90.00°. The inequivalent atoms are V at (0.0000, 0.0000, 0.0000), Ni at (0.0000, 0.0000, 0.5000), Ni at (0.0000, 0.5000, 0.0000), Ni at (0.0000, 0.5000, 0.5000), Ni at (0.2485, 0.2485, 0.2509), Ni at (0.5000, 0.5000, 0.5000) and Ge at (0.5000, 0.5000, 0.0000).

For the total energy, the calculation gives -6.02 eV/atom.

Short version: formation energy from the elements = -0.295, -0.185, -0.104 eV/atom, in the order given.
Short version: total moment = 0.00, 0.00, 3.99 Bohr magnetons per cell, in the order given.